# MgCo3Pd

MgCo3Pd at its PBEsol-relaxed geometry (SCAN, Alexandria via LeMat-Bulk).

Cell and atoms, written as CIF:
```
data_MgCo3Pd
_chemical_formula_sum 'Mg1 Co3 Pd1'
_cell_length_a 4.198
_cell_length_b 4.198
_cell_length_c 4.198
_cell_angle_alpha 90.00
_cell_angle_beta 90.00
_cell_angle_gamma 90.00
_space_group_name_H-M_alt 'P m -3 m'
_space_group_IT_number 221
_space_group_name_Hall '-P 4 2 3'
loop_
_atom_site_label
_atom_site_fract_x
_atom_site_fract_y
_atom_site_fract_z
Mg1 0.000 0.000 0.000
Co1 0.000 0.000 0.500
Pd1 0.500 0.500 0.500
```

Summary:
M_tot: 0.95 μB per atom
calculated formation energy: 7.75 eV per formula unit
uncorrected energy: -16.381 eV per atom
DOS at the Fermi energy: 0.85 states/eV per atom